# CsScIn2Cu

CsScIn2Cu after structural relaxation (GGA-PBEsol, the Alexandria database).

```
CsScIn2Cu
1.0
-4.2052 1.1112 2.5649
-2.7871 -2.0203 -3.6943
0.2380 -5.0147 2.5628
Sc In Cs Cu
1 2 1 1
Cartesian
-3.3772 -2.9619 0.7167
-1.3935 -1.0101 -1.8472
-2.1026 0.5556 1.2824
0.1190 -2.5074 1.2814
0.0000 0.0000 0.0000
```

Summary:
Its space group is P4/mmm. As for the total energy: -3.040 eV per atom.